VASP calculation (GGA-PBE) on SmSnPt2 after structural relaxation.

**ΔH_f (0 K)**: -0.938 eV per atom
**Energy**: -6.139 eV per atom
**Calculated volume**: 21.53 Å³/atom
**Density of states at the Fermi level**: 0.28 states/eV/atom

Cell: 7.491 7.220 6.370 Å, 90.00 90.00 90.00°
Space group Pnma (No. 62)
Symmetry-distinct sites (fractional):
Sm: 0.023 0.250 0.171
Sn: 0.115 0.750 0.335
Pt: 0.195 0.052 0.557



VASP calculation (GGA-PBE) on MgBC after structural relaxation.

**ΔH_f (0 K)**: 0.260 eV per atom
**Energy**: -5.572 eV per atom
**Calculated volume**: 10.97 Å³/atom
**Density of states at the Fermi level**: 0.25 states/eV/atom

Cell: 3.374 3.708 10.522 Å, 90.00 90.00 90.00°
Space group Immm (No. 71)
Symmetry-distinct sites (fractional):
Mg: 0.000 0.000 0.160
B: 0.000 0.000 0.397
C: 0.000 0.310 0.500



VASP calculation (GGA-PBE) on DyHo3Ag3 after structural relaxation.

**ΔH_f (0 K)**: -0.149 eV per atom
**Energy**: -3.990 eV per atom
**Calculated volume**: 26.20 Å³/atom
**Density of states at the Fermi level**: 0.92 states/eV/atom

Cell: 9.878 10.646 6.978 Å, 90.00 91.00 90.00°
Space group C2/m (No. 12)
Symmetry-distinct sites (fractional):
Dy: 0.243 0.000 0.351
Ho: 0.000 0.239 0.500
Ho: 0.000 0.317 0.000
Ho: 0.124 0.000 0.842
Ag: 0.072 0.500 0.312
Ag: 0.242 0.260 0.230



VASP calculation (GGA-PBE) on CoNiPS2 after structural relaxation.

**Energy**: -4.583 eV per atom
**Calculated volume**: 16.73 Å³/atom
**Density of states at the Fermi level**: 1.13 states/eV/atom

Cell: 4.516 4.516 4.102 Å, 90.00 90.00 90.00°
Space group P4/mmm (No. 123)
Symmetry-distinct sites (fractional):
Co: 0.000 0.000 0.000
Ni: 0.500 0.500 0.500
P: 0.000 0.000 0.500
S: 0.000 0.500 0.000



VASP calculation (GGA-PBE) on OsPd2S after structural relaxation.

**Energy**: -5.930 eV per atom
**Calculated volume**: 15.41 Å³/atom
**Density of states at the Fermi level**: 1.20 states/eV/atom

Cell: 7.086 7.086 4.910 Å, 90.00 90.00 90.00°
Space group I-42d (No. 122)
Symmetry-distinct sites (fractional):
Os: 0.000 0.000 0.000
Pd: 0.209 0.750 0.625
S: 0.000 0.000 0.500



VASP calculation (GGA-PBE) on La2AgB3Pt12 after structural relaxation.

**ΔH_f (0 K)**: -0.344 eV per atom
**Energy**: -6.190 eV per atom
**Calculated volume**: 18.11 Å³/atom
**Density of states at the Fermi level**: 0.42 states/eV/atom

Cell: 8.0432 8.0432 17.4550 Å, 90.00 90.00 120.00°
Space group R-3m (No. 166, hexagonal axes)
Symmetry-distinct sites (fractional):
La: 0.0000 0.0000 0.1061
Ag: 0.0000 0.0000 0.5000
B: 0.0000 0.5000 0.0000
Pt: 0.0149 0.5075 0.8792
Pt: 0.0593 0.5297 0.3523



> Among the records above, which one has the highest energy?

DyHo3Ag3